{
  "formula": "LiMg2CdO",
  "functional": "PBE",
  "state": "relaxed",
  "lattice": [[-1.2958, -3.1082, 2.5672], [1.7754, -2.8610, -2.5678], [3.7574, 0.3016, 2.2618]],
  "species": ["Mg", "Mg", "Li", "O", "Cd"],
  "fractional_positions": [[0.0000, 0.5000, 0.0000], [0.5000, 0.0000, 0.0000], [0.0000, 0.0000, 0.5000], [0.0000, 0.0000, 0.0000], [0.5000, 0.5000, 0.5000]],
  "energy_ev_per_cell": -15.93,
  "raw_formation_energy_ev_per_atom": -0.99
}